No. 1
Tb2Nd4Th | PBE-GGA | optimized geometry

Results
**Offset from the most stable computed form**: 0.251 eV per atom
**Total magnetic moment**: 0.0 μB per formula unit
**Crystal system**: orthorhombic

a b c (Å): 9.117 9.117 9.117
angles (deg): 136.20 100.39 95.62
Fractional coordinates of all 14 atoms:
1 Tb 0.000 0.000 0.000
2 Tb 0.472 0.222 0.250
3 Tb 0.500 0.000 0.500
4 Tb 0.528 0.778 0.750
5 Nd 0.149 0.652 0.496
6 Nd 0.262 0.287 0.525
7 Nd 0.262 0.736 0.975
8 Nd 0.344 0.348 0.996
9 Nd 0.656 0.652 0.004
10 Nd 0.738 0.264 0.025
11 Nd 0.738 0.713 0.475
12 Nd 0.851 0.348 0.504
13 Th 0.000 0.000 0.500
14 Th 0.000 0.500 0.000


No. 2
Tb3Nd2Th | PBE-GGA | optimized geometry

Results
**Offset from the most stable computed form**: 0.000 eV per atom
**Total magnetic moment**: 0.0 μB per formula unit
**Crystal system**: monoclinic

a b c (Å): 6.717 6.717 9.092
angles (deg): 98.02 98.02 94.94
Fractional coordinates of all 12 atoms:
1 Tb 0.082 0.918 0.750
2 Tb 0.171 0.338 0.002
3 Tb 0.338 0.171 0.502
4 Tb 0.662 0.829 0.498
5 Tb 0.829 0.662 0.998
6 Tb 0.918 0.082 0.250
7 Nd 0.125 0.625 0.376
8 Nd 0.375 0.875 0.124
9 Nd 0.625 0.125 0.876
10 Nd 0.875 0.375 0.624
11 Th 0.415 0.585 0.750
12 Th 0.585 0.415 0.250


Q: Which formula does entry 2 have?
A: Tb3Nd2Th


Q: Which value of total magnetic moment does entry 1 give?
A: 0.0 μB per formula unit